KTl2In2Br6 after structural relaxation. Source: Alexandria, functional PBE-GGA.

```
11
Lattice="6.959 -4.085 0.000 6.959 4.085 0.000 -4.586 0.000 7.652" Properties=species:S:1:pos:R:3 pbc="T T T"
K 0.000 0.000 0.000
Tl 0.186 0.000 4.982
Tl 9.147 0.000 2.670
In 5.648 0.000 0.835
In 3.684 0.000 6.818
Br 2.870 2.019 5.125
Br 3.007 0.000 1.220
Br 6.463 2.019 2.527
Br 2.870 -2.019 5.125
Br 6.325 0.000 6.433
Br 6.463 -2.019 2.527
```

Values from the calculation:
Crystal system: monoclinic
Total moment, μB per formula unit: 0.00
Energy, eV per atom: -2.81
Formation energy from raw total energies, eV per atom: -0.8675